Record 1
# VNi14Sn

A relaxed VNi14Sn crystal (PBE, the Alexandria database).

a = 5.0963 Å, b = 5.0963 Å, c = 7.0779 Å
α = 90.00°, β = 90.00°, γ = 90.00°
Last column: nearest neighbours and their distance in Å.
Positions (direct):
V: 0.0000 0.0000 0.0000  12 Ni 2.53-2.55
Ni: 0.0000 0.0000 0.5000  12 Ni 2.46-2.55
Ni: 0.0000 0.5000 0.0000  2 Sn 2.55, 2 V 2.55, 8 Ni 2.56
Ni: 0.0000 0.5000 0.5000  12 Ni 2.49-2.55
Ni: 0.2436 0.2436 0.2575  10 Ni 2.46-2.61, 1 V 2.53, 1 Sn 2.60
Ni: 0.2436 0.2436 0.7425  10 Ni 2.46-2.61, 1 V 2.53, 1 Sn 2.60
Ni: 0.2436 0.7564 0.2575  10 Ni 2.46-2.61, 1 V 2.53, 1 Sn 2.60
Ni: 0.2436 0.7564 0.7425  10 Ni 2.46-2.61, 1 V 2.53, 1 Sn 2.60
Ni: 0.5000 0.0000 0.0000  2 Sn 2.55, 2 V 2.55, 8 Ni 2.56
Ni: 0.5000 0.0000 0.5000  12 Ni 2.49-2.55
Ni: 0.5000 0.5000 0.5000  12 Ni 2.52-2.55
Ni: 0.7564 0.2436 0.2575  10 Ni 2.46-2.61, 1 V 2.53, 1 Sn 2.60
Ni: 0.7564 0.2436 0.7425  10 Ni 2.46-2.61, 1 V 2.53, 1 Sn 2.60
Ni: 0.7564 0.7564 0.2575  10 Ni 2.46-2.61, 1 V 2.53, 1 Sn 2.60
Ni: 0.7564 0.7564 0.7425  10 Ni 2.46-2.61, 1 V 2.53, 1 Sn 2.60
Sn: 0.5000 0.5000 0.0000  12 Ni 2.55-2.60

Results
M_tot (μB per cell): 4.13
Space-group type: P4/mmm, No. 123
DFT total energy (Ha/atom): -0.218

Record 2
# PrDy2HoSc4

A relaxed PrDy2HoSc4 crystal (PBE, the Alexandria database).

a = 9.1074 Å, b = 9.1074 Å, c = 6.5394 Å
α = 111.04°, β = 111.04°, γ = 88.36°
Last column: nearest neighbours and their distance in Å.
Positions (direct):
Pr: 0.0000 0.0000 0.0000  6 Sc 3.20-3.30, 2 Pr 3.27
Pr: 0.0000 0.0000 0.5000  6 Sc 3.20-3.30, 2 Pr 3.27
Dy: 0.0000 0.5000 0.0000  6 Sc 3.18-3.27, 2 Ho 3.27
Dy: 0.5000 0.0000 0.5000  6 Sc 3.18-3.27, 2 Ho 3.27
Dy: 0.5000 0.5000 0.0000  6 Sc 3.14-3.24, 2 Dy 3.27
Dy: 0.5000 0.5000 0.5000  6 Sc 3.14-3.24, 2 Dy 3.27
Ho: 0.0000 0.5000 0.5000  6 Sc 3.17-3.27, 2 Dy 3.27
Ho: 0.5000 0.0000 0.0000  6 Sc 3.17-3.27, 2 Dy 3.27
Sc: 0.2524 0.2533 0.5037  1 Ho 3.17, 3 Dy 3.18-3.24, 2 Sc 3.27, 2 Pr 3.29-3.30
Sc: 0.2522 0.7475 0.4999  3 Dy 3.14-3.27, 1 Pr 3.20, 2 Ho 3.26-3.27, 2 Sc 3.27
Sc: 0.2533 0.2524 0.0037  1 Ho 3.17, 3 Dy 3.18-3.24, 2 Sc 3.27, 2 Pr 3.29-3.30
Sc: 0.2525 0.7478 0.0001  3 Dy 3.14-3.27, 1 Pr 3.20, 2 Ho 3.26-3.27, 2 Sc 3.27
Sc: 0.7475 0.2522 0.9999  3 Dy 3.14-3.27, 1 Pr 3.20, 2 Ho 3.26-3.27, 2 Sc 3.27
Sc: 0.7467 0.7476 0.9963  1 Ho 3.17, 3 Dy 3.18-3.24, 2 Sc 3.27, 2 Pr 3.29-3.30
Sc: 0.7478 0.2525 0.5001  3 Dy 3.14-3.27, 1 Pr 3.20, 2 Ho 3.26-3.27, 2 Sc 3.27
Sc: 0.7476 0.7467 0.4963  1 Ho 3.17, 3 Dy 3.18-3.24, 2 Sc 3.27, 2 Pr 3.29-3.30

Results
M_tot (μB per cell): 6.83
Space-group type: C2/c, No. 15
DFT total energy (Ha/atom): -0.186

Record 3
# CaCdCl4

A relaxed CaCdCl4 crystal (PBE, the Alexandria database).

a = 6.0367 Å, b = 6.0367 Å, c = 6.0367 Å
α = 60.00°, β = 60.00°, γ = 60.00°
Last column: nearest neighbours and their distance in Å.
Positions (direct):
Ca: 0.0000 0.0000 0.0000  12 Cl 3.54, 4 Cd 3.70
Cd: 0.7500 0.7500 0.7500  12 Cl 3.54, 4 Ca 3.70
Cl: 0.3754 0.3754 0.3754  6 Cl 3.01-3.03
Cl: 0.3754 0.3754 0.8738  6 Cl 3.01-3.03
Cl: 0.3754 0.8738 0.3754  6 Cl 3.01-3.03
Cl: 0.8738 0.3754 0.3754  6 Cl 3.01-3.03

Results
M_tot (μB per cell): 1.94
Energy relative to the elements, uncorrected (meV per atom): -404
Energy above the lowest structure with this stoichiometry (meV per atom): 1324
Space-group type: F-43m, No. 216
DFT total energy (Ha/atom): -0.078

Record 4
# K2ZnPt

A relaxed K2ZnPt crystal (PBE, the Alexandria database).

a = 11.4932 Å, b = 11.4932 Å, c = 11.4932 Å
α = 158.10°, β = 158.10°, γ = 31.17°
Last column: nearest neighbours and their distance in Å.
Positions (direct):
K: 0.1188 0.6250 0.9938  4 K 3.05-3.13, 2 Pt 3.16, 2 Zn 3.18
K: 0.3750 0.3688 0.4938  4 K 3.05-3.13, 2 Pt 3.16, 2 Zn 3.18
K: 0.6312 0.1250 0.0062  4 K 3.05-3.13, 2 Pt 3.16, 2 Zn 3.18
K: 0.8750 0.8812 0.5062  4 K 3.05-3.13, 2 Pt 3.16, 2 Zn 3.18
Zn: 0.2500 0.7500 0.5000  4 Pt 3.09, 4 K 3.18
Zn: 0.5000 0.5000 0.0000  4 Pt 3.09, 4 K 3.18
Pt: 0.0000 0.0000 0.0000  4 Zn 3.09, 4 K 3.16
Pt: 0.7500 0.2500 0.5000  4 Zn 3.09, 4 K 3.16

Results
M_tot (μB per cell): 0.00
Space-group type: I-42d, No. 122
DFT total energy (Ha/atom): -0.072